The following is a PBEsol calculation of a relaxed structure of Zn2In2S5, from Alexandria.

Output
The formation energy from raw total energies is -5.5 eV per formula unit. The density of states at the Fermi level comes out at 0.022 states/eV per atom. As for the total moment: 0.0 μB per cell.

Lattice parameters (Å, degrees): 3.8519 3.8519 30.1543 90.00 90.00 120.00
With the nearest neighbours (Å) after each atom.
Space group P6_3mc (No. 186)
One atom of each set of equivalent atoms:
Zn 0.3333 0.6667 0.0000 (multiplicity 2)  4 S 2.32-2.43
Zn 0.3333 0.6667 0.2537 (multiplicity 2)  4 S 2.23-2.38
In 0.0000 0.0000 0.3764 (multiplicity 2)  6 S 2.58-2.67
In 0.3333 0.6667 0.6431 (multiplicity 2)  4 S 2.46-2.50
S 0.3333 0.6667 0.1084 (multiplicity 2)  3 In 2.46
S 0.3333 0.6667 0.3277 (multiplicity 2)  1 Zn 2.23
S 0.3333 0.6667 0.5215 (multiplicity 2)  3 Zn 2.32
S 0.3333 0.6667 0.7259 (multiplicity 2)  3 Zn 2.38, 1 In 2.50
S 0.3333 0.6667 0.9196 (multiplicity 2)  1 Zn 2.43, 3 In 2.58